# Li4Fe3TeO12 PBE with a Hubbard U optimized geometry
data_Li4Fe3TeO12
_chemical_formula_sum 'Li4 Fe3 Te1 O12'
_symmetry_space_group_name_H-M 'P 1 2 1'
_symmetry_Int_Tables_number 3
_cell_length_a 4.941
_cell_length_b 8.298
_cell_length_c 5.028
_cell_angle_alpha 90.00
_cell_angle_beta 91.53
_cell_angle_gamma 90.00
loop_
_symmetry_equiv_pos_as_xyz
'x,y,z'
'-x,y,-z'
loop_
_atom_site_label
_atom_site_fract_x
_atom_site_fract_y
_atom_site_fract_z
_atom_site_occupancy
Li1 0.000 0.000 0.000 1
Li2 0.000 0.365 0.500 1
Li3 0.500 0.488 0.500 1
Li4 0.500 0.897 0.000 1
Fe1 0.000 0.796 0.500 1
Fe2 0.500 0.097 0.500 1
Fe3 0.500 0.280 0.000 1
Te1 0.000 0.593 0.000 1
O1 0.199 0.773 0.827 1
O2 0.209 0.612 0.325 1
O3 0.242 0.438 0.840 1
O4 0.249 0.949 0.351 1
O5 0.305 0.109 0.817 1
O6 0.310 0.271 0.314 1
# E (eV per atom): -5.602
# Crystal system: monoclinic
# Density of states at the Fermi level (states/eV per cell): 5.2